1.
Below is a relaxed structure of Ho6Er3Th2, with properties calculated at the GGA-PBE level.

Cell: 31.5830 31.5830 31.5830 Å, 6.43 6.43 6.43°
Closest atoms and distances in Å follow each position.
Positions (direct):
Ho1 0.0910 0.0910 0.0910  3 Th 3.50, 6 Ho 3.54, 3 Er 3.55
Ho2 0.1824 0.1824 0.1824  3 Th 3.49, 9 Ho 3.54-3.62
Ho3 0.3635 0.3635 0.3635  6 Er 3.50-3.51, 6 Ho 3.54
Ho4 0.6365 0.6365 0.6365  6 Er 3.50-3.51, 6 Ho 3.54
Ho5 0.8176 0.8176 0.8176  3 Th 3.49, 9 Ho 3.54-3.62
Ho6 0.9090 0.9090 0.9090  3 Th 3.50, 6 Ho 3.54, 3 Er 3.55
Er1 0.0000 0.0000 0.0000  6 Ho 3.51, 6 Er 3.54
Er2 0.2731 0.2731 0.2731  6 Ho 3.50-3.55, 6 Er 3.54
Er3 0.7269 0.7269 0.7269  6 Ho 3.50-3.55, 6 Er 3.54
Th1 0.4544 0.4544 0.4544  6 Ho 3.49-3.50, 6 Th 3.54
Th2 0.5456 0.5456 0.5456  6 Ho 3.49-3.50, 6 Th 3.54

Output
E (eV/atom): -5.0683
Fermi-level density of states (states/eV per atom): 1.482


2.
Below is a relaxed structure of HoEr2Th, with properties calculated at the GGA-PBE level.

Cell: 5.6303 5.6303 5.6303 Å, 60.00 60.00 60.00°
Closest atoms and distances in Å follow each position.
Positions (direct):
Ho1 0.0000 0.0000 0.0000  8 Er 3.45
Er1 0.2500 0.2500 0.2500  4 Th 3.45, 4 Ho 3.45
Er2 0.7500 0.7500 0.7500  4 Th 3.45, 4 Ho 3.45
Th1 0.5000 0.5000 0.5000  8 Er 3.45

Output
E (eV/atom): -5.1412
Fermi-level density of states (states/eV per atom): 2.057


3.
Below is a relaxed structure of Ho3Er4Th, with properties calculated at the GGA-PBE level.

Cell: 11.7104 11.7104 6.6505 Å, 106.44 106.44 16.84°
Closest atoms and distances in Å follow each position.
Positions (direct):
Ho1 0.0000 0.0000 0.0000  4 Ho 3.26-3.43, 2 Er 3.26
Ho2 0.1245 0.1245 0.8654  5 Er 3.20-3.49, 3 Ho 3.26-3.43
Ho3 0.8755 0.8755 0.1346  5 Er 3.20-3.49, 3 Ho 3.26-3.43
Er1 0.1246 0.1246 0.3838  3 Ho 3.20-3.45, 5 Er 3.43-3.49
Er2 0.2591 0.2591 0.2600  9 Er 3.43-3.77, 3 Ho 3.45-3.49
Er3 0.7409 0.7409 0.7400  9 Er 3.43-3.77, 3 Ho 3.45-3.49
Er4 0.8754 0.8754 0.6162  3 Ho 3.20-3.45, 5 Er 3.43-3.49
Th1 0.5000 0.5000 0.5000  2 Th 3.43, 4 Er 3.63, 8 Ho 3.63-3.74

Output
E (eV/atom): -4.7519
Fermi-level density of states (states/eV per atom): 1.714


4.
Below is a relaxed structure of Ho6ErTm2Th, with properties calculated at the GGA-PBE level.

Cell: 8.7794 8.7794 9.1342 Å, 92.02 92.02 116.39°
Closest atoms and distances in Å follow each position.
Positions (direct):
Ho1 0.0061 0.5636 0.1872  3 Ho 3.20-3.54, 2 Tm 3.36-3.57, 1 Er 3.41, 1 Th 3.44
Ho2 0.1207 0.7710 0.5597  7 Ho 3.40-3.69, 1 Tm 3.40, 2 Th 3.57-3.61
Ho3 0.2290 0.8793 0.9403  7 Ho 3.40-3.69, 1 Tm 3.40, 2 Th 3.57-3.61
Ho4 0.2856 0.5206 0.3923  4 Ho 3.20-3.47, 3 Tm 3.30-3.41, 2 Er 3.37-3.43
Ho5 0.4364 0.9939 0.3128  3 Ho 3.20-3.54, 2 Tm 3.36-3.57, 1 Er 3.41, 1 Th 3.44
Ho6 0.4794 0.7144 0.1077  4 Ho 3.20-3.47, 3 Tm 3.30-3.41, 2 Er 3.37-3.43
Ho7 0.5206 0.2856 0.8923  4 Ho 3.20-3.47, 3 Tm 3.30-3.41, 2 Er 3.37-3.43
Ho8 0.5636 0.0061 0.6872  3 Ho 3.20-3.54, 2 Tm 3.36-3.57, 1 Er 3.41, 1 Th 3.44
Ho9 0.7144 0.4794 0.6077  4 Ho 3.20-3.47, 3 Tm 3.30-3.41, 2 Er 3.37-3.43
Ho10 0.7710 0.1207 0.0597  7 Ho 3.40-3.69, 1 Tm 3.40, 2 Th 3.57-3.61
Ho11 0.8793 0.2290 0.4403  7 Ho 3.40-3.69, 1 Tm 3.40, 2 Th 3.57-3.61
Ho12 0.9939 0.4364 0.8128  3 Ho 3.20-3.54, 2 Tm 3.36-3.57, 1 Er 3.41, 1 Th 3.44
Er1 0.4154 0.5846 0.7500  6 Ho 3.37-3.43, 4 Tm 3.45-3.74
Er2 0.5846 0.4154 0.2500  6 Ho 3.37-3.43, 4 Tm 3.45-3.74
Tm1 0.2029 0.3095 0.0564  6 Ho 3.30-3.57, 2 Th 3.33-3.55, 1 Er 3.45
Tm2 0.3095 0.2029 0.5564  6 Ho 3.30-3.57, 2 Th 3.33-3.55, 1 Er 3.45
Tm3 0.6905 0.7971 0.4436  6 Ho 3.30-3.57, 2 Th 3.33-3.55, 1 Er 3.45
Tm4 0.7971 0.6905 0.9436  6 Ho 3.30-3.57, 2 Th 3.33-3.55, 1 Er 3.45
Th1 0.0357 0.9643 0.2500  4 Tm 3.33-3.55, 6 Ho 3.44-3.61
Th2 0.9643 0.0357 0.7500  4 Tm 3.33-3.55, 6 Ho 3.44-3.61

Output
E (eV/atom): -4.6897
Fermi-level density of states (states/eV per atom): 1.438


5.
Below is a relaxed structure of HoEr2Tm6Th, with properties calculated at the GGA-PBE level.

Cell: 8.6123 8.6123 9.5395 Å, 94.44 94.44 117.15°
Closest atoms and distances in Å follow each position.
Positions (direct):
Ho1 0.0229 0.9771 0.7500  4 Er 3.31-3.32, 4 Tm 3.49-3.60
Ho2 0.9771 0.0229 0.2500  4 Er 3.31-3.32, 4 Tm 3.49-3.60
Er1 0.1905 0.2921 0.5456  6 Tm 3.22-3.54, 2 Ho 3.31-3.32, 1 Th 3.54
Er2 0.2921 0.1905 0.0456  6 Tm 3.22-3.54, 2 Ho 3.31-3.32, 1 Th 3.54
Er3 0.7079 0.8095 0.9544  6 Tm 3.22-3.54, 2 Ho 3.31-3.32, 1 Th 3.54
Er4 0.8095 0.7079 0.4544  6 Tm 3.22-3.54, 2 Ho 3.31-3.32, 1 Th 3.54
Tm1 0.0276 0.5757 0.6827  2 Tm 3.19-3.54, 2 Er 3.36-3.54, 1 Th 3.45, 1 Ho 3.49
Tm2 0.1217 0.7460 0.0589  7 Tm 3.38-3.70, 1 Er 3.44, 1 Ho 3.60, 1 Th 3.67
Tm3 0.2540 0.8783 0.4411  7 Tm 3.38-3.70, 1 Er 3.44, 1 Ho 3.60, 1 Th 3.67
Tm4 0.2978 0.5048 0.8807  4 Tm 3.19-3.50, 3 Er 3.22-3.39, 2 Th 3.36-3.50
Tm5 0.4243 0.9724 0.8173  2 Tm 3.19-3.54, 2 Er 3.36-3.54, 1 Th 3.45, 1 Ho 3.49
Tm6 0.4952 0.7022 0.6193  4 Tm 3.19-3.50, 3 Er 3.22-3.39, 2 Th 3.36-3.50
Tm7 0.5048 0.2978 0.3807  4 Tm 3.19-3.50, 3 Er 3.22-3.39, 2 Th 3.36-3.50
Tm8 0.5757 0.0276 0.1827  2 Tm 3.19-3.54, 2 Er 3.36-3.54, 1 Th 3.45, 1 Ho 3.49
Tm9 0.7022 0.4952 0.1193  4 Tm 3.19-3.50, 3 Er 3.22-3.39, 2 Th 3.36-3.50
Tm10 0.7460 0.1217 0.5589  7 Tm 3.38-3.70, 1 Er 3.44, 1 Ho 3.60, 1 Th 3.67
Tm11 0.8783 0.2540 0.9411  7 Tm 3.38-3.70, 1 Er 3.44, 1 Ho 3.60, 1 Th 3.67
Tm12 0.9724 0.4243 0.3173  2 Tm 3.19-3.54, 2 Er 3.36-3.54, 1 Th 3.45, 1 Ho 3.49
Th1 0.4041 0.5959 0.2500  8 Tm 3.36-3.67, 2 Er 3.54
Th2 0.5959 0.4041 0.7500  8 Tm 3.36-3.67, 2 Er 3.54

Output
E (eV/atom): -4.6497
Fermi-level density of states (states/eV per atom): 1.436


6.
Below is a relaxed structure of Ho2ErTm4Th, with properties calculated at the GGA-PBE level.

Cell: 4.9858 4.9861 9.8756 Å, 90.00 90.00 90.00°
Closest atoms and distances in Å follow each position.
Positions (direct):
Ho1 0.0000 0.0000 0.0000  8 Tm 3.50-3.51, 4 Th 3.53
Ho2 0.5000 0.5000 0.5000  8 Tm 3.51-3.52, 4 Er 3.53
Er1 0.0000 0.0000 0.5000  8 Tm 3.51-3.52, 4 Ho 3.53
Tm1 0.0000 0.5000 0.2498  2 Th 3.51, 4 Ho 3.51, 2 Er 3.51, 4 Tm 3.53
Tm2 0.0000 0.5000 0.7502  2 Th 3.51, 4 Ho 3.51, 2 Er 3.51, 4 Tm 3.53
Tm3 0.5000 0.0000 0.2482  4 Ho 3.50-3.52, 2 Th 3.50, 2 Er 3.52, 4 Tm 3.53
Tm4 0.5000 0.0000 0.7518  4 Ho 3.50-3.52, 2 Th 3.50, 2 Er 3.52, 4 Tm 3.53
Th1 0.5000 0.5000 0.0000  8 Tm 3.50-3.51, 4 Ho 3.53

Output
E (eV/atom): -4.8469
Fermi-level density of states (states/eV per atom): 1.523


7.
Below is a relaxed structure of Ho6Er3Tm2Th, with properties calculated at the GGA-PBE level.

Cell: 6.0954 6.0954 11.6796 Å, 95.00 95.00 119.99°
Closest atoms and distances in Å follow each position.
Positions (direct):
Ho1 0.0840 0.4146 0.7498  6 Ho 3.49-3.53, 1 Th 3.51, 3 Er 3.52-3.53, 2 Tm 3.52
Ho2 0.2466 0.2466 0.2502  6 Ho 3.49-3.53, 1 Th 3.51, 3 Er 3.52-3.54, 2 Tm 3.52
Ho3 0.4146 0.0840 0.7498  6 Ho 3.49-3.53, 1 Th 3.51, 3 Er 3.52-3.53, 2 Tm 3.52
Ho4 0.5854 0.9160 0.2502  6 Ho 3.49-3.53, 1 Th 3.51, 3 Er 3.52-3.53, 2 Tm 3.52
Ho5 0.7534 0.7534 0.7498  6 Ho 3.49-3.53, 1 Th 3.51, 3 Er 3.52-3.54, 2 Tm 3.52
Ho6 0.9160 0.5854 0.2502  6 Ho 3.49-3.53, 1 Th 3.51, 3 Er 3.52-3.53, 2 Tm 3.52
Er1 0.1673 0.8327 0.0000  6 Er 3.51-3.53, 6 Ho 3.52-3.53
Er2 0.5000 0.5000 0.0000  6 Er 3.51-3.52, 6 Ho 3.52-3.54
Er3 0.8327 0.1673 0.0000  6 Er 3.51-3.53, 6 Ho 3.52-3.53
Tm1 0.3333 0.6667 0.5000  3 Th 3.52, 3 Tm 3.52, 6 Ho 3.52
Tm2 0.6667 0.3333 0.5000  3 Th 3.52, 3 Tm 3.52, 6 Ho 3.52
Th1 0.0000 0.0000 0.5000  6 Ho 3.51, 6 Tm 3.52

Output
E (eV/atom): -4.7683
Fermi-level density of states (states/eV per atom): 1.317


8.
Below is a relaxed structure of Ho6Er2Tm3Th, with properties calculated at the GGA-PBE level.

Cell: 6.0938 6.0938 11.6725 Å, 95.00 95.00 119.96°
Closest atoms and distances in Å follow each position.
Positions (direct):
Ho1 0.0844 0.4149 0.7505  6 Ho 3.49-3.54, 3 Tm 3.51-3.52, 1 Th 3.52, 2 Er 3.53
Ho2 0.2461 0.2461 0.2496  6 Ho 3.49-3.54, 1 Th 3.51, 3 Tm 3.51-3.53, 2 Er 3.53
Ho3 0.4149 0.0844 0.7505  6 Ho 3.49-3.54, 3 Tm 3.51-3.52, 1 Th 3.52, 2 Er 3.53
Ho4 0.5851 0.9156 0.2495  6 Ho 3.49-3.54, 3 Tm 3.51-3.52, 1 Th 3.52, 2 Er 3.53
Ho5 0.7539 0.7539 0.7504  6 Ho 3.49-3.54, 1 Th 3.51, 3 Tm 3.51-3.53, 2 Er 3.53
Ho6 0.9156 0.5851 0.2495  6 Ho 3.49-3.54, 3 Tm 3.51-3.52, 1 Th 3.52, 2 Er 3.53
Er1 0.3333 0.6667 0.5000  3 Th 3.52, 3 Er 3.52, 6 Ho 3.53
Er2 0.6667 0.3333 0.5000  3 Th 3.52, 3 Er 3.52, 6 Ho 3.53
Tm1 0.1674 0.8326 0.0000  6 Tm 3.51-3.53, 6 Ho 3.51-3.52
Tm2 0.5000 0.5000 0.0000  6 Ho 3.51-3.53, 6 Tm 3.51-3.52
Tm3 0.8326 0.1674 0.0000  6 Tm 3.51-3.53, 6 Ho 3.51-3.52
Th1 0.0000 0.0000 0.5000  6 Ho 3.51-3.52, 6 Er 3.52

Output
E (eV/atom): -4.7589
Fermi-level density of states (states/eV per atom): 1.346


9.
Below is a relaxed structure of Ho2Er5TmTh, with properties calculated at the GGA-PBE level.

Cell: 11.0386 11.0386 9.6049 Å, 90.00 90.00 150.44°
Closest atoms and distances in Å follow each position.
Positions (direct):
Ho1 0.1144 0.8856 0.5000  9 Er 3.31-3.66, 1 Tm 3.39, 1 Ho 3.70
Ho2 0.1310 0.8690 0.8831  1 Tm 3.22, 2 Er 3.30, 2 Th 3.56
Ho3 0.8690 0.1310 0.3831  1 Tm 3.22, 2 Er 3.30, 2 Th 3.56
Ho4 0.8856 0.1144 0.0000  9 Er 3.31-3.66, 1 Tm 3.39, 1 Ho 3.70
Er1 0.0144 0.9856 0.1910  3 Ho 3.31-3.66, 2 Th 3.43, 2 Er 3.56
Er2 0.2694 0.7306 0.5011  1 Th 3.01, 1 Ho 3.31
Er3 0.3053 0.6947 0.8922  4 Er 3.40-3.66, 3 Tm 3.42-3.77, 3 Ho 3.46-3.72, 1 Th 3.54
Er4 0.3966 0.6034 0.2142  3 Er 3.27-3.66, 4 Ho 3.30-3.50
Er5 0.4698 0.5302 0.9157  2 Th 3.21-3.37, 5 Er 3.27-3.56, 2 Ho 3.44
Er6 0.5302 0.4698 0.4157  2 Th 3.21-3.37, 5 Er 3.27-3.56, 2 Ho 3.44
Er7 0.6034 0.3966 0.7142  3 Er 3.27-3.66, 4 Ho 3.30-3.50
Er8 0.6947 0.3053 0.3922  4 Er 3.40-3.66, 3 Tm 3.42-3.77, 3 Ho 3.46-3.72, 1 Th 3.54
Er9 0.7306 0.2694 0.0011  1 Th 3.01, 1 Ho 3.31
Er10 0.9856 0.0144 0.6910  3 Ho 3.31-3.66, 2 Th 3.43, 2 Er 3.56
Tm1 0.1908 0.8092 0.1907  2 Ho 3.22-3.39, 5 Er 3.42-3.46, 2 Th 3.58
Tm2 0.8092 0.1908 0.6907  2 Ho 3.22-3.39, 5 Er 3.42-3.46, 2 Th 3.58
Th1 0.4040 0.5960 0.5965  3 Er 3.01-3.37
Th2 0.5960 0.4040 0.0965  3 Er 3.01-3.37

Output
E (eV/atom): -4.7064
Fermi-level density of states (states/eV per atom): 1.452


10.
Below is a relaxed structure of HoErTm5Th2, with properties calculated at the GGA-PBE level.

Cell: 9.8097 9.8097 9.8097 Å, 127.56 127.56 77.33°
Closest atoms and distances in Å follow each position.
Positions (direct):
Ho1 0.2500 0.2500 0.0000  10 Tm 3.52-3.83
Ho2 0.7500 0.7500 0.0000  10 Tm 3.52-3.83
Er1 0.2500 0.7500 0.5000  4 Tm 3.08
Er2 0.7500 0.2500 0.5000  4 Tm 3.08
Tm1 0.0000 0.0000 0.0000  4 Th 3.46, 8 Tm 3.78, 2 Ho 3.83
Tm2 0.0703 0.5703 0.9223  1 Th 2.99, 1 Er 3.08
Tm3 0.1480 0.0703 0.5000  1 Th 2.99, 1 Er 3.08
Tm4 0.3520 0.8520 0.9223  1 Th 2.99, 1 Er 3.08
Tm5 0.4297 0.3520 0.5000  1 Th 2.99, 1 Er 3.08
Tm6 0.5000 0.5000 0.0000  4 Th 3.46, 8 Tm 3.78, 2 Ho 3.83
Tm7 0.5703 0.6480 0.5000  1 Th 2.99, 1 Er 3.08
Tm8 0.6480 0.1480 0.0777  1 Th 2.99, 1 Er 3.08
Tm9 0.8520 0.9297 0.5000  1 Th 2.99, 1 Er 3.08
Tm10 0.9297 0.4297 0.0777  1 Th 2.99, 1 Er 3.08
Th1 0.1195 0.3805 0.5000  1 Th 2.93, 2 Tm 2.99
Th2 0.3805 0.8805 0.2609  1 Th 2.93, 2 Tm 2.99
Th3 0.6195 0.1195 0.7391  1 Th 2.93, 2 Tm 2.99
Th4 0.8805 0.6195 0.5000  1 Th 2.93, 2 Tm 2.99

Output
E (eV/atom): -4.7928
Fermi-level density of states (states/eV per atom): 1.302


11.
Below is a relaxed structure of Ho6Er2TmTh3, with properties calculated at the GGA-PBE level.

Cell: 6.1389 6.1389 11.6585 Å, 95.05 95.05 119.96°
Closest atoms and distances in Å follow each position.
Positions (direct):
Ho1 0.0838 0.4170 0.7522  3 Th 3.50, 6 Ho 3.54-3.55, 1 Tm 3.54, 2 Er 3.54-3.55
Ho2 0.2494 0.2494 0.2477  3 Th 3.50, 6 Ho 3.54-3.55, 2 Er 3.54, 1 Tm 3.55
Ho3 0.4170 0.0838 0.7522  3 Th 3.50, 6 Ho 3.54-3.55, 1 Tm 3.54, 2 Er 3.54-3.55
Ho4 0.5830 0.9162 0.2478  3 Th 3.50, 6 Ho 3.54-3.55, 1 Tm 3.54, 2 Er 3.54-3.55
Ho5 0.7506 0.7506 0.7523  3 Th 3.50, 6 Ho 3.54-3.55, 2 Er 3.54, 1 Tm 3.55
Ho6 0.9162 0.5830 0.2478  3 Th 3.50, 6 Ho 3.54-3.55, 1 Tm 3.54, 2 Er 3.54-3.55
Er1 0.3334 0.6666 0.5000  3 Er 3.54-3.55, 6 Ho 3.54-3.55, 3 Tm 3.54-3.55
Er2 0.6666 0.3334 0.5000  3 Er 3.54-3.55, 6 Ho 3.54-3.55, 3 Tm 3.54-3.55
Tm1 0.0000 0.0000 0.5000  6 Ho 3.54-3.55, 6 Er 3.54-3.55
Th1 0.1668 0.8332 0.0000  6 Ho 3.50, 6 Th 3.54-3.55
Th2 0.5000 0.5000 0.0000  6 Ho 3.50, 6 Th 3.54-3.55
Th3 0.8332 0.1668 0.0000  6 Ho 3.50, 6 Th 3.54-3.55

Output
E (eV/atom): -5.2514
Fermi-level density of states (states/eV per atom): 1.525


12.
Below is a relaxed structure of Ho4ErTm2Th, with properties calculated at the GGA-PBE level.

Cell: 4.9771 4.9886 9.9600 Å, 90.00 90.00 90.00°
Closest atoms and distances in Å follow each position.
Positions (direct):
Ho1 0.0000 0.0000 0.2492  4 Tm 3.51-3.53, 2 Th 3.52, 4 Ho 3.52, 2 Er 3.53
Ho2 0.0000 0.0000 0.7508  4 Tm 3.51-3.53, 2 Th 3.52, 4 Ho 3.52, 2 Er 3.53
Ho3 0.5000 0.5000 0.2497  2 Th 3.52, 4 Tm 3.52, 4 Ho 3.52, 2 Er 3.53
Ho4 0.5000 0.5000 0.7503  2 Th 3.52, 4 Tm 3.52, 4 Ho 3.52, 2 Er 3.53
Er1 0.5000 0.0000 0.5000  4 Tm 3.52, 8 Ho 3.53
Tm1 0.0000 0.5000 0.5000  8 Ho 3.52-3.53, 4 Er 3.52
Tm2 0.5000 0.0000 0.0000  8 Ho 3.51-3.52, 4 Th 3.52
Th1 0.0000 0.5000 0.0000  8 Ho 3.52, 4 Tm 3.52

Output
E (eV/atom): -4.8727
Fermi-level density of states (states/eV per atom): 1.460


> Look up the E of the tenth one.

-4.7928 eV/atom


> What is the E in the third record?

-4.7519 eV/atom